a) First-principles (PBE) data for LaTm2Sc3 after structural relaxation, as listed in Alexandria.

The structure in POSCAR format:
```
LaTm2Sc3
1.0
-2.132 -3.335 -4.384
-2.300 -0.432 5.426
-5.946 10.217 0.446
Sc Tm La
6 4 2
Cartesian
-5.206 3.734 2.398
-5.171 2.716 -0.910
-5.595 6.955 1.425
-8.193 8.797 2.576
-4.782 -0.505 0.062
-2.184 -2.347 -1.088
-7.821 5.566 3.564
-2.973 5.109 0.223
-2.557 0.884 -2.076
0.000 0.000 0.000
-7.757 4.603 0.286
-2.620 1.847 1.201
```

DOS at the Fermi energy	1.52	states/eV per atom
symmetry	C2/c, No. 15

***

b) First-principles (PBE) data for LaTm2Sc3 after structural relaxation, as listed in Alexandria.

The structure in POSCAR format:
```
LaTm2Sc3
1.0
6.256 0.000 0.000
-3.128 5.418 0.000
0.000 0.000 10.693
La Sc Tm
2 6 4
Cartesian
0.000 3.612 10.050
3.128 1.806 0.642
3.128 3.591 7.908
4.674 0.914 7.908
-1.546 4.505 2.785
1.582 0.914 7.908
0.000 1.827 2.785
1.546 4.505 2.785
0.000 0.000 5.346
3.128 1.806 4.772
0.000 3.612 5.920
0.000 0.000 0.000
```

DOS at the Fermi energy	2.24	states/eV per atom
symmetry	P-3m1, No. 164

***

Most favorable first, least favorable last: a), b)

***

a) First-principles (PBE) data for La7Tm2Sc2 after structural relaxation, as listed in Alexandria.

The structure in POSCAR format:
```
La7Tm2Sc2
1.0
5.985 0.480 1.253
1.297 7.909 0.521
0.452 -0.969 7.961
La Sc Tm
7 2 2
Cartesian
5.817 2.801 8.778
2.227 4.093 5.137
0.000 0.000 0.000
5.507 3.328 4.598
1.471 -0.055 4.875
1.916 4.620 0.957
6.263 7.476 4.860
4.108 6.244 2.745
3.626 1.177 6.990
4.886 5.733 7.397
2.848 1.688 2.338
```

DOS at the Fermi energy	1.46	states/eV per atom
symmetry	C2/m, No. 12

***

b) First-principles (PBE) data for La7Tm2Sc2 after structural relaxation, as listed in Alexandria.

The structure in POSCAR format:
```
La7Tm2Sc2
1.0
8.205 0.759 1.096
0.204 6.897 0.352
0.204 -2.092 6.581
La Tm Sc
7 2 2
Cartesian
1.617 3.526 0.844
4.332 1.373 1.981
4.281 4.190 6.047
0.000 0.000 0.000
6.996 6.011 4.430
1.617 -0.448 3.598
6.996 2.037 7.184
6.889 2.679 3.866
1.724 2.884 4.162
4.306 4.661 2.712
4.306 0.902 5.317
```

DOS at the Fermi energy	1.56	states/eV per atom
symmetry	C2/m, No. 12

***

Most favorable first, least favorable last: b), a)